Li2MnV5O12, relaxed, DFT PBE with a Hubbard U; SG = C2, No. 5; electronic total energy = -7.36 eV per atom; D(E_F) = 5.3 states/eV/cell
1.0
4.260 5.488 0.013
-4.260 5.488 0.013
0.000 2.161 5.291
V Mn O Li
5 1 12 2
direct
0.162 0.388 0.044
0.075 0.925 0.000
0.817 0.629 0.479
0.612 0.838 0.956
0.371 0.183 0.521
0.907 0.093 0.500
0.799 0.004 0.915
0.106 0.653 0.947
0.197 0.007 0.611
0.993 0.803 0.389
0.606 0.027 0.581
0.313 0.372 0.693
0.973 0.394 0.419
0.706 0.599 0.815
0.401 0.294 0.185
0.347 0.894 0.053
0.628 0.687 0.307
0.996 0.201 0.085
0.706 0.294 0.000
0.286 0.714 0.500